No. 1
{
  "formula": "Ho6Bi2SbTe3",
  "functional": "PBE",
  "state": "optimized geometry",
  "lattice_angstrom": [[4.3880, 0.0000, 0.0000], [0.0000, 8.7534, 0.3239], [-2.1940, -2.5085, 9.2285]],
  "species": ["Ho", "Ho", "Ho", "Ho", "Ho", "Ho", "Bi", "Bi", "Sb", "Te", "Te", "Te"],
  "frac_coords": [[0.3375, 0.9184, 0.6749], [0.6663, 0.5824, 0.3325], [0.6625, 0.0816, 0.3251], [0.9997, 0.2405, 0.9993], [0.0003, 0.7595, 0.0007], [0.3337, 0.4176, 0.6675], [0.8332, 0.6665, 0.6664], [0.1668, 0.3335, 0.3336], [0.5000, 0.0000, 0.0000], [0.5000, 0.5000, 0.0000], [0.8319, 0.1662, 0.6638], [0.1681, 0.8338, 0.3362]],
  "spacegroup": "No. 12",
  "raw_formation_energy_ev_per_atom": -1.12,
  "total_energy_ev_per_atom": -5.1804
}

No. 2
{
  "formula": "Ho4BiSbTe2",
  "functional": "PBE",
  "state": "optimized geometry",
  "lattice_angstrom": [[-3.5825, 2.3894, -0.8295], [-1.6302, -4.4802, -5.8646], [-4.3840, -5.7638, 2.3310]],
  "species": ["Ho", "Ho", "Ho", "Ho", "Bi", "Sb", "Te", "Te"],
  "frac_coords": [[0.0000, 0.7453, 0.7458], [0.0000, 0.2547, 0.2542], [0.5000, 0.7413, 0.2583], [0.5000, 0.2587, 0.7417], [0.5000, 0.5000, 0.0000], [0.0000, 0.5000, 0.5000], [0.0000, 0.0000, 0.0000], [0.5000, 0.0000, 0.5000]],
  "spacegroup": "No. 10",
  "raw_formation_energy_ev_per_atom": -1.14,
  "total_energy_ev_per_atom": -5.2170
}

No. 3
{
  "formula": "HoThBiSb",
  "functional": "PBE",
  "state": "optimized geometry",
  "lattice_angstrom": [[4.4887, 0.0000, 0.0000], [2.2443, 3.8873, 0.0000], [2.2443, 1.2958, 7.2979]],
  "species": ["Ho", "Th", "Bi", "Sb"],
  "frac_coords": [[0.4411, 0.4411, 0.6767], [0.9469, 0.9469, 0.1594], [0.1907, 0.1907, 0.4280], [0.6978, 0.6978, 0.9067]],
  "spacegroup": "No. 160",
  "raw_formation_energy_ev_per_atom": -0.86,
  "total_energy_ev_per_atom": -5.8560
}

No. 4
{
  "formula": "Ho2ScBi",
  "functional": "PBE",
  "state": "optimized geometry",
  "lattice_angstrom": [[4.0974, 0.0000, 0.0000], [0.0000, 4.0974, 0.0000], [0.0000, 0.0000, 6.6372]],
  "species": ["Sc", "Bi", "Ho", "Ho"],
  "frac_coords": [[0.5000, 0.5000, 0.5000], [0.5000, 0.5000, 0.0000], [0.0000, 0.0000, 0.7521], [0.0000, 0.0000, 0.2479]],
  "spacegroup": "No. 123",
  "ef_mev_per_atom": -362.6,
  "total_energy_ev_per_atom": -5.2046
}

No. 5
{
  "formula": "HoSc3Bi3",
  "functional": "PBE",
  "state": "optimized geometry",
  "lattice_angstrom": [[8.7486, 0.0000, 0.0000], [4.3743, 7.5765, 0.0000], [4.3743, 2.5255, 6.0653]],
  "species": ["Ho", "Ho", "Sc", "Sc", "Sc", "Sc", "Sc", "Sc", "Bi", "Bi", "Bi", "Bi", "Bi", "Bi"],
  "frac_coords": [[0.3349, 0.3349, 0.9953], [0.6651, 0.6651, 0.0047], [0.1819, 0.6654, 0.2282], [0.9245, 0.1819, 0.2282], [0.6654, 0.9245, 0.2282], [0.3346, 0.0755, 0.7718], [0.0755, 0.8181, 0.7718], [0.8181, 0.3346, 0.7718], [0.4768, 0.7048, 0.7317], [0.7048, 0.0868, 0.7317], [0.0868, 0.4768, 0.7317], [0.9132, 0.5232, 0.2683], [0.2952, 0.9132, 0.2683], [0.5232, 0.2952, 0.2683]],
  "spacegroup": "No. 148",
  "ef_mev_per_atom": -538.5,
  "total_energy_ev_per_atom": -5.5692
}

No. 6
{
  "formula": "Ho2ScBi",
  "functional": "PBE",
  "state": "optimized geometry",
  "lattice_angstrom": [[4.5702, 0.0000, -0.0191], [0.0000, 4.5178, 0.0000], [-2.2385, 0.0000, 10.9841]],
  "species": ["Ho", "Ho", "Ho", "Ho", "Sc", "Sc", "Bi", "Bi"],
  "frac_coords": [[0.5639, 0.2500, 0.1278], [0.4361, 0.7500, 0.8722], [0.0616, 0.7500, 0.1232], [0.9384, 0.2500, 0.8768], [0.6891, 0.7500, 0.3778], [0.3109, 0.2500, 0.6222], [0.1749, 0.2500, 0.3492], [0.8251, 0.7500, 0.6508]],
  "spacegroup": "No. 63",
  "ef_mev_per_atom": -329.7,
  "total_energy_ev_per_atom": -5.1718
}

No. 7
{
  "formula": "Ho2ScBi3",
  "functional": "PBE",
  "state": "optimized geometry",
  "lattice_angstrom": [[4.3131, -0.0006, -0.9827], [-0.2239, 4.3071, -0.9832], [-0.0418, -0.0428, 9.7721]],
  "species": ["Ho", "Ho", "Sc", "Bi", "Bi", "Bi"],
  "frac_coords": [[0.1020, 0.1032, 0.2092], [0.7667, 0.7679, 0.5387], [0.4340, 0.4359, 0.8740], [0.9340, 0.9359, 0.8740], [0.2717, 0.2729, 0.5486], [0.5970, 0.5982, 0.1993]],
  "spacegroup": "No. 139",
  "ef_mev_per_atom": -769.3,
  "total_energy_ev_per_atom": -5.2909
}

No. 8
{
  "formula": "HoSc2Bi",
  "functional": "PBE",
  "state": "optimized geometry",
  "lattice_angstrom": [[-3.1214, 1.5961, 0.2628], [-2.5821, -0.8081, -2.2449], [-5.1132, -7.0614, 5.6700]],
  "species": ["Ho", "Sc", "Sc", "Bi"],
  "frac_coords": [[0.4999, 0.4999, 0.5003], [0.0803, 0.0803, 0.7591], [0.2533, 0.2533, 0.2402], [0.6665, 0.6665, 0.0004]],
  "spacegroup": "No. 160",
  "ef_mev_per_atom": -132.5,
  "total_energy_ev_per_atom": -5.4130
}

No. 9
{
  "formula": "HoScBi",
  "functional": "PBE",
  "state": "optimized geometry",
  "lattice_angstrom": [[-1.7835, -1.9034, -2.8629], [4.1947, -2.5758, -0.9007], [-3.3629, -1.7567, 3.2629]],
  "species": ["Sc", "Bi", "Ho"],
  "frac_coords": [[0.1094, 0.0000, 0.0000], [0.2505, 0.3333, 0.6667], [0.6401, 0.6667, 0.3333]],
  "spacegroup": "No. 156",
  "ef_mev_per_atom": -260.1,
  "total_energy_ev_per_atom": -5.1902
}

No. 10
{
  "formula": "HoSc2Bi3",
  "functional": "PBE",
  "state": "optimized geometry",
  "lattice_angstrom": [[-3.2605, -4.4550, -2.6957], [5.8708, -5.8253, 2.5265], [-6.6038, -1.8588, 11.0593]],
  "species": ["Ho", "Ho", "Ho", "Ho", "Sc", "Sc", "Sc", "Sc", "Sc", "Sc", "Sc", "Sc", "Bi", "Bi", "Bi", "Bi", "Bi", "Bi", "Bi", "Bi", "Bi", "Bi", "Bi", "Bi"],
  "frac_coords": [[0.2497, 0.8740, 0.0790], [0.2497, 0.3740, 0.4210], [0.7503, 0.6260, 0.5790], [0.7503, 0.1260, 0.9210], [0.2511, 0.8745, 0.7558], [0.2511, 0.3745, 0.7442], [0.2496, 0.8749, 0.4147], [0.2496, 0.3749, 0.0853], [0.7504, 0.6251, 0.9147], [0.7504, 0.1251, 0.5853], [0.7489, 0.6255, 0.2558], [0.7489, 0.1255, 0.2442], [0.2504, 0.6349, 0.5869], [0.2504, 0.1349, 0.9131], [0.2504, 0.6143, 0.9125], [0.2504, 0.1143, 0.5875], [0.2490, 0.6247, 0.2505], [0.2490, 0.1247, 0.2495], [0.7510, 0.8753, 0.7505], [0.7510, 0.3753, 0.7495], [0.7496, 0.8857, 0.4125], [0.7496, 0.3857, 0.0875], [0.7496, 0.8651, 0.0869], [0.7496, 0.3651, 0.4131]],
  "spacegroup": "No. 14",
  "ef_mev_per_atom": -708.4,
  "total_energy_ev_per_atom": -5.5224
}

No. 11
{
  "formula": "HoSc8Bi6",
  "functional": "PBE",
  "state": "optimized geometry",
  "lattice_angstrom": [[-2.2265, 5.0773, -5.7823], [-7.5144, -0.1334, -2.7726], [-5.2867, 6.7688, 2.4303]],
  "species": ["Ho", "Sc", "Sc", "Sc", "Sc", "Sc", "Sc", "Sc", "Sc", "Bi", "Bi", "Bi", "Bi", "Bi", "Bi"],
  "frac_coords": [[0.0000, 0.0000, 0.0000], [0.5542, 0.1997, 0.3731], [0.8003, 0.1270, 0.6269], [0.1270, 0.4458, 0.6269], [0.6660, 0.6660, 0.0021], [0.3340, 0.3340, 0.9979], [0.8730, 0.5542, 0.3731], [0.1997, 0.8730, 0.3731], [0.4458, 0.8003, 0.6269], [0.4165, 0.0689, 0.7870], [0.9311, 0.2723, 0.2130], [0.2723, 0.5835, 0.2130], [0.7277, 0.4165, 0.7870], [0.0689, 0.7277, 0.7870], [0.5835, 0.9311, 0.2130]],
  "spacegroup": "No. 148",
  "ef_mev_per_atom": -418.5,
  "total_energy_ev_per_atom": -5.6529
}

No. 12
{
  "formula": "Ho2ScBi",
  "functional": "PBE",
  "state": "optimized geometry",
  "lattice_angstrom": [[3.4719, 0.0000, 0.0000], [1.7360, 3.0068, 0.0000], [1.7360, 1.0023, 11.6944]],
  "species": ["Sc", "Bi", "Ho", "Ho"],
  "frac_coords": [[0.5000, 0.5000, 0.5000], [0.0000, 0.0000, 0.0000], [0.0903, 0.0903, 0.7290], [0.9097, 0.9097, 0.2710]],
  "spacegroup": "No. 166",
  "ef_mev_per_atom": 38.6,
  "total_energy_ev_per_atom": -4.8034
}

Number 1: total magnetic moment 0.000 Bohr magnetons per cell. Number 2: total magnetic moment 0.000 Bohr magnetons per cell. Number 3: total magnetic moment 0.000 Bohr magnetons per cell. Number 4: total magnetic moment 0.000 Bohr magnetons per cell. Number 5: total magnetic moment 0.000 Bohr magnetons per cell. Number 6: total magnetic moment 0.001 Bohr magnetons per cell. Number 7: total magnetic moment 0.000 Bohr magnetons per cell. Number 8: total magnetic moment 0.128 Bohr magnetons per cell. Number 9: total magnetic moment 0.000 Bohr magnetons per cell. Number 10: total magnetic moment 0.000 Bohr magnetons per cell. Number 11: total magnetic moment 5.025 Bohr magnetons per cell. Number 12: total magnetic moment 0.000 Bohr magnetons per cell.